No. 1
VASP calculation (meta-GGA SCAN) on SrFe3Pt at its PBEsol-relaxed geometry. Values from VASP.

Structure (Quantum ESPRESSO input):
```
&SYSTEM
  ibrav = 0, nat = 5, ntyp = 3
/
ATOMIC_SPECIES
Sr 87.62 Sr.upf
Fe 55.84 Fe.upf
Pt 195.08 Pt.upf
ATOMIC_POSITIONS crystal
Sr 0.0000 0.0000 0.0000
Fe 0.0000 0.5000 0.0000
Fe 0.0000 0.0000 0.5000
Fe 0.5000 0.0000 0.0000
Pt 0.5000 0.5000 0.5000
CELL_PARAMETERS angstrom
4.4374 0.0000 0.0000
0.0000 4.4374 0.0000
0.0000 0.0000 4.4374
```

Results
For the formation energy, the calculation gives 2.365 eV per atom. As for the size of the total moment: 7.97 Bohr magnetons per cell. The total energy is -135.0 eV/cell.

No. 2
VASP calculation (meta-GGA SCAN) on SrFe2Pt at its PBEsol-relaxed geometry. Values from VASP.

Structure (Quantum ESPRESSO input):
```
&SYSTEM
  ibrav = 0, nat = 4, ntyp = 3
/
ATOMIC_SPECIES
Fe 55.84 Fe.upf
Pt 195.08 Pt.upf
Sr 87.62 Sr.upf
ATOMIC_POSITIONS crystal
Fe 0.7500 0.2500 0.5000
Fe 0.2500 0.7500 0.5000
Pt 0.5000 0.5000 0.0000
Sr 0.0000 0.0000 0.0000
CELL_PARAMETERS angstrom
3.9985 0.0000 0.0000
0.0000 3.9985 0.0000
-1.9992 -1.9992 4.2787
```

Results
For the formation energy, the calculation gives 0.322 eV per atom. As for the size of the total moment: 6.12 Bohr magnetons per cell. The total energy is -127.4 eV/cell.

No. 3
VASP calculation (meta-GGA SCAN) on TaFe2Pt at its PBEsol-relaxed geometry. Values from VASP.

Structure (Quantum ESPRESSO input):
```
&SYSTEM
  ibrav = 0, nat = 4, ntyp = 3
/
ATOMIC_SPECIES
Fe 55.84 Fe.upf
Pt 195.08 Pt.upf
Ta 180.95 Ta.upf
ATOMIC_POSITIONS crystal
Fe 0.0000 0.0000 0.5000
Fe 0.0000 0.5000 0.0000
Pt 0.5000 0.5000 0.5000
Ta 0.5000 0.0000 0.0000
CELL_PARAMETERS angstrom
-1.5388 -3.0191 1.3819
1.3198 -2.0183 -2.9397
3.1874 -0.7377 1.9375
```

Results
For the formation energy, the calculation gives -0.381 eV per atom. As for the size of the total moment: 2.93 Bohr magnetons per cell. As for the offset from the most stable computed form: 0 meV per atom. The total energy is -174.6 eV/cell.

No. 4
VASP calculation (meta-GGA SCAN) on TaFe2Pt at its PBEsol-relaxed geometry. Values from VASP.

Structure (Quantum ESPRESSO input):
```
&SYSTEM
  ibrav = 0, nat = 4, ntyp = 3
/
ATOMIC_SPECIES
Fe 55.84 Fe.upf
Pt 195.08 Pt.upf
Ta 180.95 Ta.upf
ATOMIC_POSITIONS crystal
Fe 0.0066 0.0066 0.9801
Fe 0.7443 0.7443 0.7672
Pt 0.4957 0.4957 0.5129
Ta 0.2534 0.2534 0.2398
CELL_PARAMETERS angstrom
2.7861 0.0000 0.0000
1.3931 2.4129 0.0000
1.3931 0.8043 8.3568
```

Results
For the formation energy, the calculation gives -0.076 eV per atom. As for the size of the total moment: 5.55 Bohr magnetons per cell. As for the offset from the most stable computed form: 305 meV per atom. The total energy is -173.3 eV/cell.

No. 5
VASP calculation (meta-GGA SCAN) on TaFePt at its PBEsol-relaxed geometry. Values from VASP.

Structure (Quantum ESPRESSO input):
```
&SYSTEM
  ibrav = 0, nat = 3, ntyp = 3
/
ATOMIC_SPECIES
Fe 55.84 Fe.upf
Pt 195.08 Pt.upf
Ta 180.95 Ta.upf
ATOMIC_POSITIONS crystal
Fe 0.0000 0.0000 0.0000
Pt 0.5000 0.5000 0.5000
Ta 0.2500 0.2500 0.2500
CELL_PARAMETERS angstrom
4.1380 0.0000 0.0000
2.0690 3.5836 0.0000
2.0690 1.1945 3.3787
```

Results
For the formation energy, the calculation gives 0.125 eV per atom. As for the size of the total moment: 0.00 Bohr magnetons per cell. As for the offset from the most stable computed form: 472 meV per atom. The total energy is -154.5 eV/cell.

No. 6
VASP calculation (meta-GGA SCAN) on TaFePt at its PBEsol-relaxed geometry. Values from VASP.

Structure (Quantum ESPRESSO input):
```
&SYSTEM
  ibrav = 0, nat = 3, ntyp = 3
/
ATOMIC_SPECIES
Fe 55.84 Fe.upf
Pt 195.08 Pt.upf
Ta 180.95 Ta.upf
ATOMIC_POSITIONS crystal
Fe 0.0488 0.0000 0.0000
Pt 0.6812 0.3333 0.6667
Ta 0.2700 0.6667 0.3333
CELL_PARAMETERS angstrom
-0.9528 -1.0015 -2.3097
-0.2814 -3.9068 1.8101
-3.3457 2.7174 0.2019
```

Results
For the formation energy, the calculation gives -0.347 eV per atom. As for the size of the total moment: 2.09 Bohr magnetons per cell. As for the offset from the most stable computed form: 0 meV per atom. The total energy is -155.9 eV/cell.

No. 7
VASP calculation (meta-GGA SCAN) on TaFePt at its PBEsol-relaxed geometry. Values from VASP.

Structure (Quantum ESPRESSO input):
```
&SYSTEM
  ibrav = 0, nat = 3, ntyp = 3
/
ATOMIC_SPECIES
Fe 55.84 Fe.upf
Pt 195.08 Pt.upf
Ta 180.95 Ta.upf
ATOMIC_POSITIONS crystal
Fe 0.9956 0.9956 0.9911
Pt 0.3414 0.3414 0.6827
Ta 0.6631 0.6631 0.3262
CELL_PARAMETERS angstrom
2.7362 0.0458 0.0000
-0.0348 2.7364 0.0000
-1.3507 -1.3911 5.7985
```

Results
For the formation energy, the calculation gives -0.348 eV per atom. As for the size of the total moment: 2.82 Bohr magnetons per cell. As for the offset from the most stable computed form: 0 meV per atom. The total energy is -155.9 eV/cell.

No. 8
VASP calculation (meta-GGA SCAN) on TaFe4Pt at its PBEsol-relaxed geometry. Values from VASP.

Structure (Quantum ESPRESSO input):
```
&SYSTEM
  ibrav = 0, nat = 6, ntyp = 3
/
ATOMIC_SPECIES
Fe 55.84 Fe.upf
Pt 195.08 Pt.upf
Ta 180.95 Ta.upf
ATOMIC_POSITIONS crystal
Fe 0.6248 0.6248 0.1256
Fe 0.1256 0.6248 0.6248
Fe 0.6248 0.1256 0.6248
Fe 0.6248 0.6248 0.6248
Pt 0.2500 0.2500 0.2500
Ta 0.0000 0.0000 0.0000
CELL_PARAMETERS angstrom
-0.4004 -0.5268 -4.6514
3.8325 0.1107 -2.7152
1.5344 -3.9342 -2.0593
```

Results
For the formation energy, the calculation gives -0.263 eV per atom. As for the size of the total moment: 8.79 Bohr magnetons per cell. The total energy is -210.9 eV/cell.

No. 9
VASP calculation (meta-GGA SCAN) on Fe4TcPt at its PBEsol-relaxed geometry. Values from VASP.

Structure (Quantum ESPRESSO input):
```
&SYSTEM
  ibrav = 0, nat = 6, ntyp = 3
/
ATOMIC_SPECIES
Fe 55.84 Fe.upf
Pt 195.08 Pt.upf
Tc 98.00 Tc.upf
ATOMIC_POSITIONS crystal
Fe 0.6253 0.6253 0.1241
Fe 0.1241 0.6253 0.6253
Fe 0.6253 0.1241 0.6253
Fe 0.6253 0.6253 0.6253
Pt 0.2500 0.2500 0.2500
Tc 0.0000 0.0000 0.0000
CELL_PARAMETERS angstrom
4.6315 0.0000 0.0000
2.3158 4.0110 0.0000
2.3158 1.3370 3.7816
```

Results
For the formation energy, the calculation gives -0.035 eV per atom. As for the size of the total moment: 7.59 Bohr magnetons per cell. The total energy is -178.0 eV/cell.

No. 10
VASP calculation (meta-GGA SCAN) on FeTcPt2 at its PBEsol-relaxed geometry. Values from VASP.

Structure (Quantum ESPRESSO input):
```
&SYSTEM
  ibrav = 0, nat = 4, ntyp = 3
/
ATOMIC_SPECIES
Tc 98.00 Tc.upf
Pt 195.08 Pt.upf
Fe 55.84 Fe.upf
ATOMIC_POSITIONS crystal
Tc 0.5000 0.5000 0.0000
Pt 0.0000 0.0000 0.7452
Pt 0.0000 0.0000 0.2548
Fe 0.5000 0.5000 0.5000
CELL_PARAMETERS angstrom
-1.5581 0.7093 -2.0650
-2.1832 -0.5405 1.4617
-0.0847 7.2430 2.5516
```

Results
For the formation energy, the calculation gives -0.318 eV per atom. As for the size of the total moment: 3.29 Bohr magnetons per cell. As for the offset from the most stable computed form: 0 meV per atom. The total energy is -194.8 eV/cell.

No. 11
VASP calculation (meta-GGA SCAN) on FeTcPt2 at its PBEsol-relaxed geometry. Values from VASP.

Structure (Quantum ESPRESSO input):
```
&SYSTEM
  ibrav = 0, nat = 4, ntyp = 3
/
ATOMIC_SPECIES
Tc 98.00 Tc.upf
Pt 195.08 Pt.upf
Fe 55.84 Fe.upf
ATOMIC_POSITIONS crystal
Tc 0.5000 0.0000 0.5340
Pt 0.0000 0.0000 0.0449
Pt 0.0000 0.5000 0.7047
Fe 0.5000 0.5000 0.2165
CELL_PARAMETERS angstrom
-1.0801 1.1301 2.1585
-3.2137 -2.9382 -0.0697
2.5742 -2.8819 2.7969
```

Results
For the formation energy, the calculation gives -0.302 eV per atom. As for the size of the total moment: 3.38 Bohr magnetons per cell. As for the offset from the most stable computed form: 16 meV per atom. The total energy is -194.8 eV/cell.

No. 12
VASP calculation (meta-GGA SCAN) on FeTe2Pt at its PBEsol-relaxed geometry. Values from VASP.

Structure (Quantum ESPRESSO input):
```
&SYSTEM
  ibrav = 0, nat = 4, ntyp = 3
/
ATOMIC_SPECIES
Fe 55.84 Fe.upf
Pt 195.08 Pt.upf
Te 127.60 Te.upf
ATOMIC_POSITIONS crystal
Fe 0.0000 0.0000 0.5262
Pt 0.5000 0.5000 0.7273
Te 0.0000 0.0000 0.8961
Te 0.5000 0.5000 0.3504
CELL_PARAMETERS angstrom
3.4738 0.0000 0.0000
0.0000 3.4738 0.0000
0.0000 0.0000 6.9319
```

Results
The value obtained for the formation energy from raw total energies is -45 meV/atom. As for the size of the total moment: 2.89 Bohr magnetons per cell. As for the offset from the most stable computed form: 170 meV per atom. The total energy is -163.0 eV/cell.